Compound: SrSiSe
Source: Alexandria via LeMat-Bulk
Functional: GGA-PBE
Structure: optimized geometry

Calculated values
Fermi-level density of states   1.6 states/eV/cell
SG   No. 107
Spin magnetization   0.0 μB/f.u.
Calculated total energy   -12.2 eV for the cell shown

Geometry as CIF:
```
data_SrSiSe
_symmetry_space_group_name_H-M 'P 1'
_symmetry_Int_Tables_number 1
_cell_length_a 5.772
_cell_length_b 5.772
_cell_length_c 5.772
_cell_angle_alpha 136.77
_cell_angle_beta 136.84
_cell_angle_gamma 62.74
loop_
_symmetry_equiv_pos_as_xyz
'x,y,z'
loop_
_atom_site_label
_atom_site_type_symbol
_atom_site_fract_x
_atom_site_fract_y
_atom_site_fract_z
Se1 Se 0.060 0.060 0.000
Sr1 Sr 0.642 0.642 0.000
Si1 Si 0.298 0.298 0.000
```

---

Compound: SrSiSe
Source: Alexandria via LeMat-Bulk
Functional: GGA-PBE
Structure: optimized geometry

Calculated values
Fermi-level density of states   0.9 states/eV/cell
SG   No. 42
Spin magnetization   0.0 μB/f.u.
Calculated total energy   -11.8 eV for the cell shown

Geometry as CIF:
```
data_SrSiSe
_symmetry_space_group_name_H-M 'P 1'
_symmetry_Int_Tables_number 1
_cell_length_a 5.943
_cell_length_b 5.942
_cell_length_c 3.820
_cell_angle_alpha 71.27
_cell_angle_beta 71.23
_cell_angle_gamma 37.50
loop_
_symmetry_equiv_pos_as_xyz
'x,y,z'
loop_
_atom_site_label
_atom_site_type_symbol
_atom_site_fract_x
_atom_site_fract_y
_atom_site_fract_z
Se1 Se 0.954 0.954 0.046
Sr1 Sr 0.665 0.665 0.335
Si1 Si 0.380 0.380 0.620
```

---

Compound: SrSiSe
Source: Alexandria via LeMat-Bulk
Functional: GGA-PBE
Structure: optimized geometry

Calculated values
Fermi-level density of states   2.1 states/eV/cell
SG   No. 216
Spin magnetization   0.0 μB/f.u.
Calculated total energy   -11.3 eV for the cell shown

Geometry as CIF:
```
data_SrSiSe
_symmetry_space_group_name_H-M 'P 1'
_symmetry_Int_Tables_number 1
_cell_length_a 4.978
_cell_length_b 4.978
_cell_length_c 4.978
_cell_angle_alpha 60.00
_cell_angle_beta 60.00
_cell_angle_gamma 60.00
loop_
_symmetry_equiv_pos_as_xyz
'x,y,z'
loop_
_atom_site_label
_atom_site_type_symbol
_atom_site_fract_x
_atom_site_fract_y
_atom_site_fract_z
Si1 Si 0.000 0.000 0.000
Se1 Se 0.250 0.250 0.250
Sr1 Sr 0.500 0.500 0.500
```

---

Values for distance to the lowest polymorph of the same formula, eV per atom, ordered as above
0.000, 0.126, 0.280
Values for formation energy from raw total energies, eV/atom, ordered as above
-0.526, -0.400, -0.246